1.
# Ac2CrCoO6 PBE+U relaxed
data_Ac2CrCoO6
_symmetry_space_group_name_H-M 'P 1'
_symmetry_Int_Tables_number 1
_cell_length_a 5.557
_cell_length_b 5.557
_cell_length_c 3.949
_cell_angle_alpha 90.00
_cell_angle_beta 90.00
_cell_angle_gamma 90.00
loop_
_symmetry_equiv_pos_as_xyz
'x,y,z'
loop_
_atom_site_label
_atom_site_fract_x
_atom_site_fract_y
_atom_site_fract_z
_atom_site_occupancy
Ac1 0.000 0.500 0.000 1
Ac2 0.500 0.000 0.000 1
Cr1 0.000 0.000 0.500 1
Co1 0.500 0.500 0.500 1
O1 0.000 0.000 0.000 1
O2 0.254 0.254 0.500 1
O3 0.254 0.746 0.500 1
O4 0.500 0.500 0.000 1
O5 0.746 0.254 0.500 1
O6 0.746 0.746 0.500 1
# size of the total moment: 3.00 μB/cell
# total energy: -7.501 eV/atom
# SG: No. 123

2.
# AcCr4Co3O12 PBE+U relaxed
data_AcCr4Co3O12
_symmetry_space_group_name_H-M 'P 1'
_symmetry_Int_Tables_number 1
_cell_length_a 6.475
_cell_length_b 6.475
_cell_length_c 6.475
_cell_angle_alpha 109.47
_cell_angle_beta 109.47
_cell_angle_gamma 109.47
loop_
_symmetry_equiv_pos_as_xyz
'x,y,z'
loop_
_atom_site_label
_atom_site_fract_x
_atom_site_fract_y
_atom_site_fract_z
_atom_site_occupancy
Ac1 0.000 0.000 0.000 1
Cr1 0.000 0.000 0.500 1
Cr2 0.000 0.500 0.000 1
Cr3 0.500 0.000 0.000 1
Cr4 0.500 0.500 0.500 1
Co1 0.000 0.500 0.500 1
Co2 0.500 0.000 0.500 1
Co3 0.500 0.500 0.000 1
O1 0.143 0.828 0.316 1
O2 0.172 0.316 0.488 1
O3 0.172 0.684 0.857 1
O4 0.316 0.143 0.828 1
O5 0.316 0.488 0.172 1
O6 0.488 0.172 0.316 1
O7 0.512 0.828 0.684 1
O8 0.684 0.512 0.828 1
O9 0.684 0.857 0.172 1
O10 0.828 0.316 0.143 1
O11 0.828 0.684 0.512 1
O12 0.857 0.172 0.684 1
# size of the total moment: 12.00 μB/cell
# total energy: -7.109 eV/atom
# SG: No. 204
# D(E_F): 0.01 states/eV/atom

3.
# Cs2AcCoF6 PBE+U relaxed
data_Cs2AcCoF6
_symmetry_space_group_name_H-M 'P 1'
_symmetry_Int_Tables_number 1
_cell_length_a 6.649
_cell_length_b 6.649
_cell_length_c 6.649
_cell_angle_alpha 120.33
_cell_angle_beta 120.01
_cell_angle_gamma 89.71
loop_
_symmetry_equiv_pos_as_xyz
'x,y,z'
loop_
_atom_site_label
_atom_site_fract_x
_atom_site_fract_y
_atom_site_fract_z
_atom_site_occupancy
Cs1 0.249 0.249 0.000 1
Cs2 0.751 0.751 0.000 1
Ac1 0.500 0.000 0.500 1
Co1 0.000 0.500 0.500 1
F1 0.244 0.256 0.500 1
F2 0.244 0.744 0.988 1
F3 0.245 0.745 0.500 1
F4 0.755 0.255 0.500 1
F5 0.756 0.256 0.012 1
F6 0.756 0.744 0.500 1
# size of the total moment: 2.00 μB/cell
# total energy: -5.093 eV/atom
# SG: No. 71
# D(E_F): 0.10 states/eV/atom

4.
# CsAcCo2F8 PBE+U relaxed
data_CsAcCo2F8
_symmetry_space_group_name_H-M 'P 1'
_symmetry_Int_Tables_number 1
_cell_length_a 5.794
_cell_length_b 5.794
_cell_length_c 9.213
_cell_angle_alpha 90.00
_cell_angle_beta 90.00
_cell_angle_gamma 120.00
loop_
_symmetry_equiv_pos_as_xyz
'x,y,z'
loop_
_atom_site_label
_atom_site_fract_x
_atom_site_fract_y
_atom_site_fract_z
_atom_site_occupancy
Cs1 0.000 0.000 0.000 1
Ac1 0.000 0.000 0.500 1
Co1 0.333 0.667 0.763 1
Co2 0.667 0.333 0.237 1
F1 0.056 0.342 0.670 1
F2 0.285 0.944 0.670 1
F3 0.333 0.667 0.965 1
F4 0.342 0.285 0.330 1
F5 0.658 0.715 0.670 1
F6 0.667 0.333 0.035 1
F7 0.715 0.056 0.330 1
F8 0.944 0.658 0.330 1
# size of the total moment: 6.00 μB/cell
# total energy: -5.330 eV/atom
# SG: No. 147
# D(E_F): 0.00 states/eV/atom

5.
# CsAc3Co4O12 PBE+U relaxed
data_CsAc3Co4O12
_symmetry_space_group_name_H-M 'P 1'
_symmetry_Int_Tables_number 1
_cell_length_a 7.626
_cell_length_b 7.626
_cell_length_c 7.626
_cell_angle_alpha 102.01
_cell_angle_beta 102.01
_cell_angle_gamma 102.01
loop_
_symmetry_equiv_pos_as_xyz
'x,y,z'
loop_
_atom_site_label
_atom_site_fract_x
_atom_site_fract_y
_atom_site_fract_z
_atom_site_occupancy
Cs1 0.000 0.000 0.000 1
Ac1 0.000 0.551 0.449 1
Ac2 0.449 0.000 0.551 1
Ac3 0.551 0.449 0.000 1
Co1 0.049 0.500 0.951 1
Co2 0.500 0.500 0.500 1
Co3 0.500 0.951 0.049 1
Co4 0.951 0.049 0.500 1
O1 0.003 0.224 0.396 1
O2 0.098 0.902 0.500 1
O3 0.224 0.396 0.003 1
O4 0.349 0.651 0.500 1
O5 0.396 0.003 0.224 1
O6 0.500 0.098 0.902 1
O7 0.500 0.349 0.651 1
O8 0.604 0.776 0.997 1
O9 0.651 0.500 0.349 1
O10 0.776 0.997 0.604 1
O11 0.902 0.500 0.098 1
O12 0.997 0.604 0.776 1
# size of the total moment: 14.00 μB/cell
# total energy: -6.433 eV/atom
# SG: No. 155
# D(E_F): 0.29 states/eV/atom

6.
# Cs2AcCo2O6 PBE+U relaxed
data_Cs2AcCo2O6
_symmetry_space_group_name_H-M 'P 1'
_symmetry_Int_Tables_number 1
_cell_length_a 6.449
_cell_length_b 6.449
_cell_length_c 7.251
_cell_angle_alpha 116.39
_cell_angle_beta 116.39
_cell_angle_gamma 59.99
loop_
_symmetry_equiv_pos_as_xyz
'x,y,z'
loop_
_atom_site_label
_atom_site_fract_x
_atom_site_fract_y
_atom_site_fract_z
_atom_site_occupancy
Cs1 0.221 0.221 0.163 1
Cs2 0.779 0.779 0.837 1
Ac1 0.000 0.000 0.500 1
Co1 0.430 0.430 0.788 1
Co2 0.570 0.570 0.212 1
O1 0.259 0.259 0.742 1
O2 0.260 0.725 0.744 1
O3 0.275 0.740 0.256 1
O4 0.725 0.260 0.744 1
O5 0.740 0.275 0.256 1
O6 0.741 0.741 0.258 1
# size of the total moment: 9.02 μB/cell
# total energy: -5.751 eV/atom
# SG: No. 12
# D(E_F): 0.04 states/eV/atom

Q: What is the size of the total moment in the sixth record?
A: 9.02 μB/cell

Q: Number 2 is which compound?
A: AcCr4Co3O12

Q: The lowest size of the total moment belongs to which entry?
A: Cs2AcCoF6

Q: size of the total moment of number 1 (Ac2CrCoO6)?
A: 3.00 μB/cell